(1)
! ScBe2AlTe | the Alexandria database | PBE-GGA | optimized geometry; values from VASP
&SYSTEM
  ibrav = 0, nat = 5, ntyp = 4
/
ATOMIC_SPECIES
Sc 44.96 Sc.upf
Be 9.01 Be.upf
Te 127.60 Te.upf
Al 26.98 Al.upf
CELL_PARAMETERS angstrom
-0.824 2.626 4.024
1.771 -4.109 3.045
4.532 1.780 -0.234
ATOMIC_POSITIONS crystal
Sc 0.000 0.000 0.000
Be 0.000 0.000 0.500
Be 0.500 0.000 0.000
Te 0.500 0.500 0.500
Al 0.000 0.500 0.000
! Uncorrected formation energy, eV per atom: 1.34
! Symmetry: P4/mmm

---

(2)
! Sr2MgGeO | the Alexandria database | PBE-GGA | optimized geometry; values from VASP
&SYSTEM
  ibrav = 0, nat = 5, ntyp = 4
/
ATOMIC_SPECIES
Sr 87.62 Sr.upf
Ge 72.64 Ge.upf
Mg 24.30 Mg.upf
O 16.00 O.upf
CELL_PARAMETERS angstrom
5.127 0.000 0.000
0.000 5.127 0.000
0.000 0.000 4.370
ATOMIC_POSITIONS crystal
Sr 0.000 0.500 0.000
Sr 0.500 0.000 0.000
Ge 0.500 0.500 0.500
Mg 0.000 0.000 0.500
O 0.000 0.000 0.000
! Uncorrected formation energy, eV per atom: -1.24
! Symmetry: P4/mmm

---

(3)
! Ni4Pt3Rh | the Alexandria database | PBE-GGA | optimized geometry; values from VASP
&SYSTEM
  ibrav = 0, nat = 8, ntyp = 3
/
ATOMIC_SPECIES
Ni 58.69 Ni.upf
Pt 195.08 Pt.upf
Rh 102.91 Rh.upf
CELL_PARAMETERS angstrom
5.607 -0.318 -0.736
-3.038 4.723 0.736
-2.989 -1.209 4.657
ATOMIC_POSITIONS crystal
Ni 0.307 0.731 0.038
Ni 0.307 0.269 0.575
Ni 0.853 0.257 0.596
Ni 0.339 0.743 0.596
Pt 0.809 0.235 0.044
Pt 0.149 0.000 0.149
Pt 0.809 0.765 0.574
Rh 0.578 0.500 0.078
! Energy of formation from the pure elements, eV/atom: 0.194
! Symmetry: Imm2

---

(4)
! CePrSn2 | the Alexandria database | PBE-GGA | optimized geometry; values from VASP
&SYSTEM
  ibrav = 0, nat = 4, ntyp = 3
/
ATOMIC_SPECIES
Pr 140.91 Pr.upf
Sn 118.71 Sn.upf
Ce 140.12 Ce.upf
CELL_PARAMETERS angstrom
-4.034 1.617 -1.222
-2.247 -3.869 2.298
-0.225 2.661 4.262
ATOMIC_POSITIONS crystal
Pr 0.500 0.500 0.500
Sn 0.000 0.000 0.500
Sn 0.000 0.500 0.000
Ce 0.500 0.000 0.000
! Energy of formation from the pure elements, eV/atom: -0.627
! Symmetry: P4/mmm

---

Summary of total energy in eV/atom
-2.790; -4.150; -5.881; -5.307
(order as listed above)